1.
MnZn4Pb | PBE | relaxed

The density of states at the Fermi level comes out at 16.1 states/eV/cell. Its formation energy from the elements is 20 kJ per mole of atoms. Its volume is 17.74 Å³ per atom.

The structure belongs to space group F-43m (No. 216); the cell edges are 7.5235, 7.5235 and 7.5235 Å and the angles 90.00°, 90.00° and 90.00°. The inequivalent atoms are Mn at (0.0000, 0.0000, 0.0000), Zn at (0.1266, 0.1266, 0.6266) and Pb at (0.2500, 0.2500, 0.2500).



2.
Mn2ZnPb | PBE | relaxed

The density of states at the Fermi level comes out at 15.2 states/eV/cell. Its formation energy from the elements is 39 kJ per mole of atoms. Its volume is 17.23 Å³ per atom. The calculation puts the distance to the lowest polymorph of the same formula at 0.053 eV per atom.

The structure belongs to space group Fm-3m (No. 225); the cell edges are 6.5088, 6.5088 and 6.5088 Å and the angles 90.00°, 90.00° and 90.00°. The inequivalent atoms are Mn at (0.2500, 0.2500, 0.2500), Zn at (0.0000, 0.0000, 0.0000) and Pb at (0.0000, 0.0000, 0.5000).



3.
MnZnPb2 | PBE | relaxed

The density of states at the Fermi level comes out at 6.1 states/eV/cell. Its formation energy from the elements is 37 kJ per mole of atoms. Its volume is 23.34 Å³ per atom.

The structure belongs to space group R-3m (No. 166, hexagonal axes); the cell edges are 3.4099, 3.4099 and 27.8142 Å and the angles 90.00°, 90.00° and 120.00°. The inequivalent atoms are Mn at (0.0000, 0.0000, 0.0000), Zn at (0.0000, 0.0000, 0.5000) and Pb at (0.0000, 0.0000, 0.2534).



no.,DFT total energy (eV per atom),total magnetic moment (μB/f.u.)
1,-2.78,3.83
2,-5.43,6.98
3,-4.08,3.31